# Ce2VAs4Rh3

An optimized crystal structure of Ce2VAs4Rh3 (PBE, the Alexandria database).

Values from the calculation:
The total energy comes out at -70.424 eV/cell.

abc: 4.315 4.315 9.937
angles: 90.00 90.00 90.00
Atoms (fractional coordinates):
Ce: 0.000 0.500 0.243
Ce: 0.500 0.000 0.757
V: 0.000 0.000 0.500
As: 0.000 0.000 0.000
As: 0.000 0.500 0.634
As: 0.500 0.000 0.366
As: 0.500 0.500 0.000
Rh: 0.000 0.500 0.882
Rh: 0.500 0.000 0.118
Rh: 0.500 0.500 0.500